Entry 1:
VASP calculation (PBE) on crystalline Li3ErCd4 at its relaxed geometry.

Cell lengths 3.4244, 3.4244, 13.7633 Å; angles 90.00, 90.00, 90.00 degrees
Closest atoms and distances in Å follow each position.
Sites, in units of the cell vectors:
Li  0.5000  0.5000  0.7318  8 Cd 2.89-2.91, 1 Li 3.19
Li  0.5000  0.5000  0.5000  8 Cd 2.89, 2 Li 3.19
Li  0.5000  0.5000  0.2682  8 Cd 2.89-2.91, 1 Li 3.19
Cd  0.0000  0.0000  0.1542  4 Li 2.89, 1 Cd 3.18, 4 Er 3.22
Cd  0.0000  0.0000  0.8458  4 Li 2.89, 1 Cd 3.18, 4 Er 3.22
Cd  0.0000  0.0000  0.6148  8 Li 2.89-2.91, 2 Cd 3.16-3.18
Cd  0.0000  0.0000  0.3852  8 Li 2.89-2.91, 2 Cd 3.16-3.18
Er  0.5000  0.5000  0.0000  8 Cd 3.22, 4 Er 3.42

Calculated values
Crystal system: tetragonal
Space-group type: P4/mmm, No. 123

---

Entry 2:
VASP calculation (PBE) on crystalline LiErCd2 at its relaxed geometry.

Cell lengths 3.4330, 3.4330, 7.4582 Å; angles 90.00, 90.00, 90.00 degrees
Closest atoms and distances in Å follow each position.
Sites, in units of the cell vectors:
Er  0.5000  0.5000  0.5000  8 Cd 3.23, 4 Er 3.43
Cd  0.0000  0.0000  0.7859  4 Li 2.91, 1 Cd 3.19, 4 Er 3.23
Cd  0.0000  0.0000  0.2142  4 Li 2.91, 1 Cd 3.19, 4 Er 3.23
Li  0.5000  0.5000  0.0000  8 Cd 2.91

Calculated values
Crystal system: tetragonal
Space-group type: P4/mmm, No. 123

---

Entry 3:
VASP calculation (PBE) on crystalline Li3Er2Cd4 at its relaxed geometry.

Cell lengths 5.9070, 8.3295, 8.4877 Å; angles 90.00, 110.36, 90.00 degrees
Closest atoms and distances in Å follow each position.
Sites, in units of the cell vectors:
Er  0.8906  0.4080  0.7811  8 Cd 3.21-3.48, 4 Li 3.29-3.51
Er  0.3906  0.0920  0.7811  8 Cd 3.21-3.48, 4 Li 3.29-3.51
Er  0.6094  0.9080  0.2189  8 Cd 3.21-3.48, 4 Li 3.29-3.51
Er  0.1094  0.5920  0.2189  8 Cd 3.21-3.48, 4 Li 3.29-3.51
Cd  0.3191  0.4719  0.6381  5 Li 2.80-2.89
Cd  0.1945  0.7500  0.8890  3 Li 2.70, 2 Cd 2.95
Cd  0.8055  0.2500  0.1110  3 Li 2.70, 2 Cd 2.95
Cd  0.6945  0.7500  0.8890  3 Li 2.70, 2 Cd 2.95
Cd  0.1809  0.9719  0.3619  5 Li 2.80-2.89
Cd  0.3055  0.2500  0.1110  3 Li 2.70, 2 Cd 2.95
Cd  0.6809  0.5281  0.3619  5 Li 2.80-2.89
Cd  0.8191  0.0281  0.6381  5 Li 2.80-2.89
Li  0.5000  0.5000  0.0000  6 Cd 2.70-2.89
Li  0.5249  0.7500  0.5498  5 Cd 2.70-2.84, 2 Li 2.95
Li  0.0249  0.7500  0.5498  5 Cd 2.70-2.84, 2 Li 2.95
Li  0.4751  0.2500  0.4502  5 Cd 2.70-2.84, 2 Li 2.95
Li  0.9751  0.2500  0.4502  5 Cd 2.70-2.84, 2 Li 2.95
Li  0.0000  0.0000  0.0000  6 Cd 2.70-2.89

Calculated values
Crystal system: orthorhombic
Space-group type: Cmce, No. 64

---

Number 1: final energy -16.1 eV per cell, E_form -2.114 eV per formula unit. Number 2: final energy -9.4 eV per cell, E_form -1.046 eV per formula unit. Number 3: final energy -40.7 eV per cell, E_form -1.812 eV per formula unit.